CsHgAs: optimized geometry, GGA-PBE.

abc: 5.8125 4.5888 8.7178
angles: 90.00 92.43 90.00
Positions (direct):
1 Cs 0.0270 0.2500 0.2215
2 Cs 0.9730 0.7500 0.7785
3 Hg 0.4285 0.2500 0.6073
4 Hg 0.5715 0.7500 0.3927
5 As 0.4677 0.7500 0.0619
6 As 0.5323 0.2500 0.9381

Summary:
N(E_F) = 0.176 states/eV per atom
final energy = -13.4 eV per cell
total moment = 0.000 μB/atom
E_form = -0.30 eV per atom